No. 1
Entry from Alexandria: a relaxed Zr2CrI crystal (PBE).

Distance to the lowest polymorph of the same formula ... 324 meV per atom
Final energy ... -6.1835 eV/atom
Uncorrected formation energy ... 0.884 eV/atom
Space-group type ... No. 122

Geometry as CIF:
```
data_Zr2CrI
_chemical_formula_sum 'Zr4 Cr2 I2'
_cell_length_a 7.4671
_cell_length_b 7.4671
_cell_length_c 7.4671
_cell_angle_alpha 131.54
_cell_angle_beta 131.54
_cell_angle_gamma 70.95
_symmetry_space_group_name_H-M 'P 1'
_symmetry_Int_Tables_number 1
loop_
_symmetry_equiv_pos_as_xyz
'x,y,z'
loop_
_atom_site_label
_atom_site_type_symbol
_atom_site_fract_x
_atom_site_fract_y
_atom_site_fract_z
Zr1 Zr 0.0245 0.6250 0.8995
Zr2 Zr 0.3750 0.2745 0.3995
Zr3 Zr 0.7255 0.1250 0.1005
Zr4 Zr 0.8750 0.9755 0.6005
Cr1 Cr 0.0000 0.0000 0.0000
Cr2 Cr 0.7500 0.2500 0.5000
I1 I 0.2500 0.7500 0.5000
I2 I 0.5000 0.5000 0.0000
```


No. 2
Entry from Alexandria: a relaxed Zr2CrI crystal (PBE).

Distance to the lowest polymorph of the same formula ... 0 meV per atom
Final energy ... -6.5072 eV/atom
Uncorrected formation energy ... 0.560 eV/atom
Space-group type ... No. 225

Geometry as CIF:
```
data_Zr2CrI
_chemical_formula_sum 'Zr2 Cr1 I1'
_cell_length_a 4.8652
_cell_length_b 4.8652
_cell_length_c 4.8652
_cell_angle_alpha 60.00
_cell_angle_beta 60.00
_cell_angle_gamma 60.00
_symmetry_space_group_name_H-M 'P 1'
_symmetry_Int_Tables_number 1
loop_
_symmetry_equiv_pos_as_xyz
'x,y,z'
loop_
_atom_site_label
_atom_site_type_symbol
_atom_site_fract_x
_atom_site_fract_y
_atom_site_fract_z
Zr1 Zr 0.2500 0.2500 0.2500
Zr2 Zr 0.7500 0.7500 0.7500
Cr1 Cr 0.0000 0.0000 0.0000
I1 I 0.5000 0.5000 0.5000
```


No. 3
Entry from Alexandria: a relaxed ZrCrI2 crystal (PBE).

Distance to the lowest polymorph of the same formula ... 258 meV per atom
Final energy ... -4.7850 eV/atom
Uncorrected formation energy ... 0.533 eV/atom
Space-group type ... No. 122

Geometry as CIF:
```
data_ZrCrI2
_chemical_formula_sum 'Zr2 Cr2 I4'
_cell_length_a 7.8509
_cell_length_b 7.8509
_cell_length_c 7.8509
_cell_angle_alpha 130.43
_cell_angle_beta 130.43
_cell_angle_gamma 72.72
_symmetry_space_group_name_H-M 'P 1'
_symmetry_Int_Tables_number 1
loop_
_symmetry_equiv_pos_as_xyz
'x,y,z'
loop_
_atom_site_label
_atom_site_type_symbol
_atom_site_fract_x
_atom_site_fract_y
_atom_site_fract_z
Zr1 Zr 0.0000 0.0000 0.0000
Zr2 Zr 0.7500 0.2500 0.5000
Cr1 Cr 0.2500 0.7500 0.5000
Cr2 Cr 0.5000 0.5000 0.0000
I1 I 0.1430 0.6250 0.0180
I2 I 0.3750 0.3930 0.5180
I3 I 0.6070 0.1250 0.9820
I4 I 0.8750 0.8570 0.4820
```


No. 4
Entry from Alexandria: a relaxed ZrCr3I crystal (PBE).

Distance to the lowest polymorph of the same formula ... 145 meV per atom
Final energy ... -6.1545 eV/atom
Uncorrected formation energy ... 1.639 eV/atom
Space-group type ... No. 221

Geometry as CIF:
```
data_ZrCr3I
_chemical_formula_sum 'Zr1 Cr3 I1'
_cell_length_a 5.0085
_cell_length_b 5.0085
_cell_length_c 5.0085
_cell_angle_alpha 90.00
_cell_angle_beta 90.00
_cell_angle_gamma 90.00
_symmetry_space_group_name_H-M 'P 1'
_symmetry_Int_Tables_number 1
loop_
_symmetry_equiv_pos_as_xyz
'x,y,z'
loop_
_atom_site_label
_atom_site_type_symbol
_atom_site_fract_x
_atom_site_fract_y
_atom_site_fract_z
Zr1 Zr 0.0000 0.0000 0.0000
Cr1 Cr 0.0000 0.0000 0.5000
Cr2 Cr 0.0000 0.5000 0.0000
Cr3 Cr 0.5000 0.0000 0.0000
I1 I 0.5000 0.5000 0.5000
```